Here is a relaxed structure of Er2Tm3PuSe6 from Alexandria via LeMat-Bulk. Energies are from GGA-PBE.

a b c (Å): 17.6443 4.0196 8.1244
angles (deg): 90.00 103.43 90.00
With the nearest neighbours (Å) after each atom.
Space group C2/m (No. 12)
Unique sites:
Er 0.1631 0.0000 0.3278 x4  6 Se 2.81-2.90
Tm 0.0000 0.5000 0.5000 x2  6 Se 2.81-2.88
Tm 0.1642 0.0000 0.8355 x4  6 Se 2.81-2.87
Pu 0.0000 0.5000 0.0000 x2  6 Se 2.90-2.93
Se 0.0006 0.0000 0.7428 x4  3 Tm 2.81, 1 Er 2.81, 2 Pu 2.90
Se 0.1679 0.5000 0.5846 x4  3 Tm 2.87-2.88, 3 Er 2.88-2.90
Se 0.1706 0.5000 0.0845 x4  3 Tm 2.84, 2 Er 2.84, 1 Pu 2.93

Density, g/cm3: 9.2
Total energy, eV/atom: -6.4886
Energy relative to the elements, uncorrected, meV per atom: -1674
N(E_F), states/eV/f.u.: 7.8

***

Here is a relaxed structure of Ho6Zn2Cd from Alexandria via LeMat-Bulk. Energies are from GGA-PBE.

a b c (Å): 4.9468 4.9468 21.5043
angles (deg): 90.00 90.00 90.00
With the nearest neighbours (Å) after each atom.
Space group I4/mmm (No. 139)
Unique sites:
Ho 0.0000 0.5000 0.0896 x8  2 Zn 3.00, 2 Cd 3.14
Ho 0.0000 0.5000 0.2500 x4  4 Zn 3.04
Zn 0.0000 0.0000 0.1681 x4  8 Ho 3.00-3.04
Cd 0.0000 0.0000 0.5000 x2  8 Ho 3.14

Density, g/cm3: 7.8
Total energy, eV/atom: -3.3888
Distance to the lowest polymorph of the same formula, meV per atom: 245.4
N(E_F), states/eV/f.u.: 11.6

***

Here is a relaxed structure of CrGaI2N from Alexandria via LeMat-Bulk. Energies are from GGA-PBE.

a b c (Å): 5.8489 5.8489 3.6358
angles (deg): 90.00 90.00 90.00
With the nearest neighbours (Å) after each atom.
Space group P4/mmm (No. 123)
Unique sites:
Cr 0.0000 0.0000 0.0000 x1  8 I 3.44, 2 Cr 3.64
Ga 0.5000 0.5000 0.5000 x1  2 N 1.82
I 0.0000 0.5000 0.5000 x2  2 Ga 2.92
N 0.5000 0.5000 0.0000 x1  2 Ga 1.82

Density, g/cm3: 5.2
Total energy, eV/atom: -4.1376
Energy relative to the elements, uncorrected, meV per atom: 678
Distance to the lowest polymorph of the same formula, meV per atom: 636.9
N(E_F), states/eV/f.u.: 5.0